1.
Below is Ac6Si2Br3Cl after structural relaxation, with properties calculated at the GGA-PBE level.

Summary:
Uncorrected energy: -4.658 eV/atom
Formation energy from raw total energies: -1.1282 eV per atom

```
data_Ac6Si2Br3Cl
_space_group_name_H-M_alt 'P 1'
_space_group_IT_number 1
_space_group_name_Hall 'P 1'
_cell_length_a 10.367
_cell_length_b 10.367
_cell_length_c 9.173
_cell_angle_alpha 107.28
_cell_angle_beta 107.28
_cell_angle_gamma 25.20
loop_
_atom_site_label
_atom_site_type_symbol
_atom_site_fract_x
_atom_site_fract_y
_atom_site_fract_z
Ac1 Ac 0.005 0.005 0.234
Ac2 Ac 0.324 0.324 0.437
Ac3 Ac 0.344 0.344 0.903
Ac4 Ac 0.656 0.656 0.097
Ac5 Ac 0.676 0.676 0.563
Ac6 Ac 0.995 0.995 0.766
Si1 Si 0.162 0.162 0.325
Si2 Si 0.838 0.838 0.675
Br1 Br 0.177 0.177 0.838
Br2 Br 0.500 0.500 0.500
Br3 Br 0.823 0.823 0.162
Cl1 Cl 0.500 0.500 0.000
```

***

2.
Below is Pm2Er5ThSc after structural relaxation, with properties calculated at the GGA-PBE level.

Summary:
Energy of formation: 171 meV/atom
Uncorrected energy: -4.948 eV/atom

```
data_Pm2Er5ThSc
_space_group_name_H-M_alt 'P 1'
_space_group_IT_number 1
_space_group_name_Hall 'P 1'
_cell_length_a 11.567
_cell_length_b 11.567
_cell_length_c 9.158
_cell_angle_alpha 90.00
_cell_angle_beta 90.00
_cell_angle_gamma 152.08
loop_
_atom_site_label
_atom_site_type_symbol
_atom_site_fract_x
_atom_site_fract_y
_atom_site_fract_z
Pm1 Pm 0.116 0.884 0.500
Pm2 Pm 0.139 0.861 0.073
Pm3 Pm 0.861 0.139 0.573
Pm4 Pm 0.884 0.116 0.000
Er1 Er 0.002 0.998 0.778
Er2 Er 0.267 0.733 0.447
Er3 Er 0.298 0.702 0.069
Er4 Er 0.388 0.612 0.743
Er5 Er 0.478 0.522 0.033
Er6 Er 0.522 0.478 0.533
Er7 Er 0.612 0.388 0.243
Er8 Er 0.702 0.298 0.569
Er9 Er 0.733 0.267 0.947
Er10 Er 0.998 0.002 0.278
Th1 Th 0.398 0.602 0.338
Th2 Th 0.602 0.398 0.838
Sc1 Sc 0.213 0.787 0.771
Sc2 Sc 0.787 0.213 0.271
```

***

3.
Below is CaYPb2 after structural relaxation, with properties calculated at the GGA-PBE level.

Summary:
Energy of formation: -251 meV/atom
Uncorrected energy: -4.221 eV/atom

```
data_CaYPb2
_space_group_name_H-M_alt 'P 1'
_space_group_IT_number 1
_space_group_name_Hall 'P 1'
_cell_length_a 4.420
_cell_length_b 4.420
_cell_length_c 6.493
_cell_angle_alpha 90.00
_cell_angle_beta 90.00
_cell_angle_gamma 90.00
loop_
_atom_site_label
_atom_site_type_symbol
_atom_site_fract_x
_atom_site_fract_y
_atom_site_fract_z
Ca1 Ca 0.000 0.000 0.000
Y1 Y 0.500 0.500 0.661
Pb1 Pb 0.000 0.000 0.505
Pb2 Pb 0.500 0.500 0.182
```

***

4.
Below is SrSbW3 after structural relaxation, with properties calculated at the GGA-PBE level.

Summary:
E above lowest polymorph: 0.0000 eV per atom
Uncorrected energy: -6.825 eV/atom
Formation energy from raw total energies: 2.1077 eV per atom

```
data_SrSbW3
_space_group_name_H-M_alt 'P 1'
_space_group_IT_number 1
_space_group_name_Hall 'P 1'
_cell_length_a 5.026
_cell_length_b 5.026
_cell_length_c 5.026
_cell_angle_alpha 90.00
_cell_angle_beta 90.00
_cell_angle_gamma 90.00
loop_
_atom_site_label
_atom_site_type_symbol
_atom_site_fract_x
_atom_site_fract_y
_atom_site_fract_z
Sr1 Sr 0.000 0.000 0.000
Sb1 Sb 0.500 0.500 0.500
W1 W 0.000 0.500 0.500
W2 W 0.500 0.000 0.500
W3 W 0.500 0.500 0.000
```